Entry 1:
The following is a DFT calculation (PBE-GGA) of Ac2HoGe2 after structural relaxation.

Summary:
distance to the lowest polymorph of the same formula: 0.0864 eV/atom

Unit cell a=4.654 b=8.272 c=8.993 alpha=90.00 beta=104.99 gamma=90.00
Fractional positions:
Ac1 0.956 0.732 0.911
Ac2 0.793 0.382 0.587
Ac3 0.207 0.882 0.413
Ac4 0.044 0.232 0.089
Ho1 0.407 0.088 0.814
Ho2 0.593 0.588 0.186
Ge1 0.439 0.435 0.877
Ge2 0.824 0.997 0.648
Ge3 0.176 0.497 0.352
Ge4 0.561 0.935 0.123

Entry 2:
The following is a DFT calculation (PBE-GGA) of Ac2HoGe after structural relaxation.

Summary:
distance to the lowest polymorph of the same formula: 0.2971 eV/atom

Unit cell a=3.886 b=3.886 c=11.885 alpha=80.59 beta=80.59 gamma=60.00
Fractional positions:
Ac1 0.104 0.104 0.687
Ac2 0.896 0.896 0.313
Ge1 0.500 0.500 0.500
Ho1 0.000 0.000 0.000

Entry 3:
The following is a DFT calculation (PBE-GGA) of AcHoGe after structural relaxation.

Summary:
distance to the lowest polymorph of the same formula: 0.2026 eV/atom

Unit cell a=3.900 b=7.328 c=7.194 alpha=96.47 beta=90.00 gamma=105.43
Fractional positions:
Ho1 0.048 0.095 0.255
Ho2 0.952 0.905 0.745
Ge1 0.590 0.180 0.970
Ge2 0.410 0.820 0.030
Ac1 0.786 0.572 0.259
Ac2 0.214 0.428 0.741

Entry 4:
The following is a DFT calculation (PBE-GGA) of AcHo2Ge4 after structural relaxation.

Unit cell a=3.978 b=4.387 c=10.257 alpha=102.35 beta=101.18 gamma=90.00
Fractional positions:
Ac1 0.500 0.000 0.000
Ge1 0.665 0.665 0.330
Ge2 0.335 0.335 0.670
Ge3 0.078 0.578 0.157
Ge4 0.922 0.422 0.843
Ho1 0.815 0.815 0.631
Ho2 0.185 0.185 0.369

Entry 5:
The following is a DFT calculation (PBE-GGA) of AcHoGe3 after structural relaxation.

Unit cell a=4.068 b=4.431 c=13.987 alpha=99.11 beta=90.00 gamma=90.00
Fractional positions:
Ac1 0.250 0.076 0.151
Ac2 0.750 0.924 0.849
Ho1 0.250 0.796 0.591
Ho2 0.750 0.204 0.409
Ge1 0.250 0.370 0.741
Ge2 0.750 0.630 0.259
Ge3 0.250 0.473 0.945
Ge4 0.750 0.527 0.055
Ge5 0.750 0.310 0.620
Ge6 0.250 0.690 0.380

Entry 6:
The following is a DFT calculation (PBE-GGA) of AcHoGe2 after structural relaxation.

Unit cell a=3.454 b=5.515 c=5.515 alpha=90.00 beta=90.00 gamma=90.00
Fractional positions:
Ac1 0.500 0.500 0.500
Ge1 0.000 0.000 0.500
Ge2 0.000 0.500 0.000
Ho1 0.500 0.000 0.000

Entry 7:
The following is a DFT calculation (PBE-GGA) of AcHoGe2 after structural relaxation.

Unit cell a=3.886 b=3.886 c=6.770 alpha=90.00 beta=90.00 gamma=90.00
Fractional positions:
Ac1 0.500 0.500 0.000
Ge1 0.000 0.000 0.698
Ge2 0.000 0.000 0.302
Ho1 0.500 0.500 0.500

Entry 8:
The following is a DFT calculation (PBE-GGA) of Ac4HoGe5 after structural relaxation.

Unit cell a=6.351 b=7.795 c=7.795 alpha=80.45 beta=65.96 gamma=65.96
Fractional positions:
Ac1 0.409 0.394 0.791
Ac2 0.803 0.791 0.606
Ac3 0.200 0.209 0.394
Ac4 0.594 0.606 0.209
Ho1 0.000 0.000 0.000
Ge1 0.907 0.370 0.819
Ge2 0.277 0.819 0.630
Ge3 0.726 0.181 0.370
Ge4 0.096 0.630 0.181
Ge5 0.499 0.000 0.000

Computed E_tot, in the same sequence as the records: -5.01 -4.24 -4.80 -5.28 -5.20 -4.96 -5.11 -4.94 eV per atom.
Computed DFT formation energy, in the same sequence as the records: -0.6004 0.1173 -0.3611 -0.7419 -0.6911 -0.4820 -0.6292 -0.5333 eV/atom.